{
  "formula": "Co2TcAsH",
  "functional": "PBE",
  "state": "relaxed",
  "vol_a3_per_fu": 52,
  "magnetic_moment_mub_per_fu": 0.00,
  "e_tot_ev_per_atom": -6.4578,
  "crystal_system": "tetragonal",
  "lattice_angstrom": [[3.655, 0.000, 0.000], [0.000, 3.655, 0.000], [0.000, 0.000, 3.879]],
  "species": ["H", "Co", "Tc", "As", "Co"],
  "frac_coords": [[0.000, 0.000, 0.000], [0.500, 0.000, 0.000], [0.000, 0.000, 0.500], [0.500, 0.500, 0.500], [0.000, 0.500, 0.000]]
}